A.
A plane-wave DFT calculation with PBE was carried out for an optimized crystal structure of ZrHg2Mo.

Calculated values
- ρ: 12.20 g/cm³
- DOS at the Fermi energy: 5.03 states/eV/cell

POSCAR file:
```
ZrHg2Mo
1.0
10.179 -0.001 -0.001
9.727 3.001 -0.001
9.727 1.466 2.619
Mo Hg Zr
1 2 1
Direct
0.250 0.250 0.250
0.504 0.504 0.504
0.996 0.996 0.996
0.750 0.750 0.750
```

***

B.
A plane-wave DFT calculation with PBE was carried out for an optimized crystal structure of ZrHg2Mo.

Calculated values
- ρ: 12.49 g/cm³
- DOS at the Fermi energy: 2.70 states/eV/cell

POSCAR file:
```
ZrHg2Mo
1.0
-1.141 -2.608 0.762
0.246 -0.921 -2.788
8.269 -3.107 1.754
Mo Hg Zr
1 2 1
Direct
0.500 0.500 0.250
0.000 0.000 0.491
0.000 0.000 0.009
0.500 0.500 0.750
```

***

C.
A plane-wave DFT calculation with PBE was carried out for an optimized crystal structure of ZrHg2Mo.

Calculated values
- ρ: 11.85 g/cm³
- DOS at the Fermi energy: 2.64 states/eV/cell

POSCAR file:
```
ZrHg2Mo
1.0
10.514 0.020 0.012
10.071 3.018 0.012
10.071 1.486 2.626
Mo Zr Hg
1 1 2
Direct
0.501 0.501 0.501
0.753 0.753 0.753
0.001 0.001 0.001
0.245 0.245 0.245
```

***

B ends up most stable, edging out the next structure by 8.3 kJ/mol of atoms.

***

A.
A plane-wave DFT calculation with PBE was carried out for an optimized crystal structure of ZrHgMo.

Calculated values
- ρ: 10.94 g/cm³
- DOS at the Fermi energy: 2.96 states/eV/cell

POSCAR file:
```
ZrHgMo
1.0
-5.947 -3.013 3.144
-3.711 -3.722 4.940
-1.374 2.258 1.320
Hg Mo Zr
1 1 1
Direct
0.995 0.995 0.005
0.329 0.329 0.671
0.675 0.675 0.325
```

***

B.
A plane-wave DFT calculation with PBE was carried out for an optimized crystal structure of ZrHgMo.

Calculated values
- ρ: 9.02 g/cm³
- DOS at the Fermi energy: 6.42 states/eV/cell

POSCAR file:
```
ZrHgMo
1.0
4.657 0.000 0.000
2.328 4.033 0.000
2.328 1.344 3.802
Mo Zr Hg
1 1 1
Direct
0.500 0.500 0.500
0.250 0.250 0.250
0.000 0.000 0.000
```

***

A ends up most stable, edging out the next structure by 83.0 kJ/mol of atoms.

***

A.
A plane-wave DFT calculation with PBE was carried out for an optimized crystal structure of ZrHgMo.

Calculated values
- ρ: 10.91 g/cm³
- DOS at the Fermi energy: 4.12 states/eV/cell

POSCAR file:
```
ZrHgMo
1.0
5.362 -0.027 0.000
3.063 4.400 0.000
-4.212 -2.187 2.494
Hg Mo Zr
1 1 1
Direct
0.994 0.994 0.000
0.328 0.328 0.000
0.678 0.678 0.000
```

***

B.
A plane-wave DFT calculation with PBE was carried out for an optimized crystal structure of ZrHgMo.

Calculated values
- ρ: 11.01 g/cm³
- DOS at the Fermi energy: 1.86 states/eV/cell

POSCAR file:
```
ZrHgMo
1.0
4.983 0.000 0.000
-2.491 4.315 0.000
0.000 0.000 2.720
Zr Mo Hg
1 1 1
Direct
0.333 0.667 0.653
0.667 0.333 0.275
0.000 0.000 0.072
```

***

C.
A plane-wave DFT calculation with PBE was carried out for an optimized crystal structure of ZrHgMo.

Calculated values
- ρ: 11.02 g/cm³
- DOS at the Fermi energy: 2.33 states/eV/cell

POSCAR file:
```
ZrHgMo
1.0
7.240 0.006 0.000
6.074 3.939 0.000
-6.657 -1.973 2.051
Hg Zr Mo
1 1 1
Direct
0.995 0.995 0.000
0.670 0.670 0.000
0.334 0.334 0.000
```

***

A ends up most stable, edging out the next structure by 3.4 kJ/mol of atoms.

***

A.
A plane-wave DFT calculation with PBE was carried out for an optimized crystal structure of Zr3HgMo.

Calculated values
- ρ: 6.88 g/cm³
- DOS at the Fermi energy: 11.41 states/eV/cell

POSCAR file:
```
Zr3HgMo
1.0
-3.239 3.033 -2.638
-2.052 -4.161 -2.265
-3.457 -0.372 3.816
Zr Hg Mo
3 1 1
Direct
0.500 0.000 0.000
0.000 0.000 0.500
0.000 0.500 0.000
0.000 0.000 0.000
0.500 0.500 0.500
```

***

B.
A plane-wave DFT calculation with PBE was carried out for an optimized crystal structure of Zr3HgMo.

Calculated values
- ρ: 7.36 g/cm³
- DOS at the Fermi energy: 7.83 states/eV/cell

POSCAR file:
```
Zr3HgMo
1.0
-4.621 1.509 -1.360
-1.302 -4.794 -0.897
-1.560 -0.471 4.778
Hg Mo Zr
1 1 3
Direct
0.500 0.500 0.500
0.000 0.000 0.000
0.500 0.000 0.000
0.000 0.000 0.500
0.000 0.500 0.000
```

***

B ends up most stable, edging out the next structure by 89.9 kJ/mol of atoms.

***

A.
A plane-wave DFT calculation with PBE was carried out for an optimized crystal structure of NaHgS2N.

Calculated values
- ρ: 4.34 g/cm³
- DOS at the Fermi energy: 2.75 states/eV/cell

POSCAR file:
```
NaHgS2N
1.0
5.128 0.000 0.000
0.000 5.128 0.000
0.000 0.000 4.395
Na S Hg N
1 2 1 1
Direct
0.000 0.000 0.000
0.000 0.500 0.000
0.500 0.000 0.000
0.500 0.500 0.500
0.000 0.000 0.500
```

***

B.
A plane-wave DFT calculation with PBE was carried out for an optimized crystal structure of NaHgS2N.

Calculated values
- ρ: 4.28 g/cm³
- DOS at the Fermi energy: 3.51 states/eV/cell

POSCAR file:
```
NaHgS2N
1.0
-5.169 -0.559 -0.313
-0.068 -2.046 4.789
-0.527 3.937 1.675
Hg S Na N
1 2 1 1
Direct
0.000 0.000 0.000
0.000 0.500 0.000
0.500 0.000 0.000
0.500 0.500 0.500
0.000 0.000 0.500
```

***

B ends up most stable, edging out the next structure by 43.6 kJ/mol of atoms.

***

A.
A plane-wave DFT calculation with PBE was carried out for an optimized crystal structure of NaHgTe2N.

Calculated values
- ρ: 5.55 g/cm³
- DOS at the Fermi energy: 3.85 states/eV/cell

POSCAR file:
```
NaHgTe2N
1.0
-2.167 -5.262 2.027
2.180 -2.785 -4.898
3.478 -0.686 1.938
Hg Te Na N
1 2 1 1
Direct
0.000 0.000 0.000
0.500 0.000 0.000
0.000 0.500 0.000
0.500 0.500 0.500
0.000 0.000 0.500
```

***

B.
A plane-wave DFT calculation with PBE was carried out for an optimized crystal structure of NaHgTe2N.

Calculated values
- ρ: 5.68 g/cm³
- DOS at the Fermi energy: 4.94 states/eV/cell

POSCAR file:
```
NaHgTe2N
1.0
5.694 0.000 0.000
0.000 5.694 0.000
0.000 0.000 4.442
Te Na N Hg
2 1 1 1
Direct
0.000 0.500 0.000
0.500 0.000 0.000
0.000 0.000 0.000
0.000 0.000 0.500
0.500 0.500 0.500
```

***

A ends up most stable, edging out the next structure by 35.7 kJ/mol of atoms.

***

A.
A plane-wave DFT calculation with PBE was carried out for an optimized crystal structure of NbHgS2N.

Calculated values
- ρ: 6.30 g/cm³
- DOS at the Fermi energy: 3.29 states/eV/cell

POSCAR file:
```
NbHgS2N
1.0
-3.054 -3.328 2.148
1.792 -3.580 -2.998
2.765 -0.831 2.645
Hg S N Nb
1 2 1 1
Direct
0.500 0.500 0.500
0.500 0.000 0.000
0.000 0.500 0.000
0.000 0.000 0.500
0.000 0.000 0.000
```

***

B.
A plane-wave DFT calculation with PBE was carried out for an optimized crystal structure of NbHgS2N.

Calculated values
- ρ: 5.90 g/cm³
- DOS at the Fermi energy: 4.58 states/eV/cell

POSCAR file:
```
NbHgS2N
1.0
-0.972 -4.112 2.912
4.940 -1.362 -0.274
0.768 2.129 3.262
Nb S Hg N
1 2 1 1
Direct
0.500 0.500 0.500
0.000 0.500 0.000
0.500 0.000 0.000
0.000 0.000 0.000
0.000 0.000 0.500
```

***

A ends up most stable, edging out the next structure by 143.4 kJ/mol of atoms.

***

A.
A plane-wave DFT calculation with PBE was carried out for an optimized crystal structure of NbHgSN2.

Calculated values
- ρ: 6.78 g/cm³
- DOS at the Fermi energy: 2.55 states/eV/cell

POSCAR file:
```
NbHgSN2
1.0
-1.315 -3.310 -2.088
3.276 0.274 -2.498
2.634 -3.016 3.123
N Hg S Nb
2 1 1 1
Direct
0.000 0.500 0.000
0.500 0.000 0.000
0.000 0.000 0.000
0.000 0.000 0.500
0.500 0.500 0.500
```

***

B.
A plane-wave DFT calculation with PBE was carried out for an optimized crystal structure of NbHgSN2.

Calculated values
- ρ: 6.80 g/cm³
- DOS at the Fermi energy: 1.11 states/eV/cell

POSCAR file:
```
NbHgSN2
1.0
4.003 0.000 0.000
0.000 4.003 0.000
0.000 0.000 5.392
Nb S Hg N
1 1 1 2
Direct
0.000 0.000 0.000
0.000 0.000 0.500
0.500 0.500 0.500
0.000 0.500 0.000
0.500 0.000 0.000
```

***

B ends up most stable, edging out the next structure by 160.1 kJ/mol of atoms.

***

A.
A plane-wave DFT calculation with PBE was carried out for an optimized crystal structure of NbHgSeN2.

Calculated values
- ρ: 7.49 g/cm³
- DOS at the Fermi energy: 4.68 states/eV/cell

POSCAR file:
```
NbHgSeN2
1.0
4.083 0.000 0.000
0.000 4.083 0.000
0.000 0.000 5.325
Hg Nb Se N
1 1 1 2
Direct
0.000 0.000 0.000
0.500 0.500 0.500
0.000 0.000 0.500
0.000 0.500 0.000
0.500 0.000 0.000
```

***

B.
A plane-wave DFT calculation with PBE was carried out for an optimized crystal structure of NbHgSeN2.

Calculated values
- ρ: 7.24 g/cm³
- DOS at the Fermi energy: 2.39 states/eV/cell

POSCAR file:
```
NbHgSeN2
1.0
-3.087 2.591 -0.175
-2.571 -3.011 0.773
0.512 0.984 5.538
Se N Hg Nb
1 2 1 1
Direct
0.000 0.000 0.500
0.500 0.000 0.000
0.000 0.500 0.000
0.500 0.500 0.500
0.000 0.000 0.000
```

***

B ends up most stable, edging out the next structure by 171.6 kJ/mol of atoms.

***

A.
A plane-wave DFT calculation with PBE was carried out for an optimized crystal structure of Y2NbHgN.

Calculated values
- ρ: 7.98 g/cm³
- DOS at the Fermi energy: 2.80 states/eV/cell

POSCAR file:
```
Y2NbHgN
1.0
4.869 0.000 0.000
0.000 4.869 0.000
0.000 0.000 4.259
Y Nb N Hg
2 1 1 1
Direct
0.500 0.000 0.000
0.000 0.500 0.000
0.000 0.000 0.500
0.000 0.000 0.000
0.500 0.500 0.500
```

***

B.
A plane-wave DFT calculation with PBE was carried out for an optimized crystal structure of Y2NbHgN.

Calculated values
- ρ: 6.23 g/cm³
- DOS at the Fermi energy: 5.63 states/eV/cell

POSCAR file:
```
Y2NbHgN
1.0
5.677 0.000 0.000
0.000 4.012 0.000
0.000 0.000 5.677
Hg Nb N Y
1 1 1 2
Direct
0.500 0.500 0.500
0.000 0.000 0.000
0.000 0.500 0.000
0.000 0.000 0.500
0.500 0.000 0.000
```

***

A ends up most stable, edging out the next structure by 100.0 kJ/mol of atoms.

***

A.
A plane-wave DFT calculation with PBE was carried out for an optimized crystal structure of NdHgN.

Calculated values
- ρ: 8.29 g/cm³
- DOS at the Fermi energy: 1.66 states/eV/cell

POSCAR file:
```
NdHgN
1.0
3.967 0.000 -0.830
-0.256 5.083 -1.225
-0.509 -0.922 7.464
Hg Nd N
2 2 2
Direct
0.500 0.247 0.000
0.500 0.753 0.000
0.803 0.303 0.607
0.197 0.697 0.393
0.778 0.778 0.557
0.222 0.222 0.443
```

***

B.
A plane-wave DFT calculation with PBE was carried out for an optimized crystal structure of NdHgN.

Calculated values
- ρ: 10.02 g/cm³
- DOS at the Fermi energy: 0.72 states/eV/cell

POSCAR file:
```
NdHgN
1.0
-1.002 -3.102 -1.871
3.738 0.829 -3.376
0.646 -2.633 7.791
N Hg Nd
2 2 2
Direct
0.208 0.165 0.415
0.792 0.835 0.585
0.553 0.857 0.107
0.447 0.143 0.893
0.177 0.604 0.354
0.823 0.396 0.646
```

***

B ends up most stable, edging out the next structure by 21.2 kJ/mol of atoms.

***

A.
A plane-wave DFT calculation with PBE was carried out for an optimized crystal structure of Nd4Hg2N.

Calculated values
- ρ: 8.42 g/cm³
- DOS at the Fermi energy: 12.64 states/eV/cell

POSCAR file:
```
Nd4Hg2N
1.0
-2.345 1.679 2.361
-4.004 -6.933 0.955
7.785 -3.125 9.954
Nd Hg N
8 4 2
Direct
0.500 0.201 0.453
0.000 0.888 0.318
0.000 0.112 0.682
0.500 0.299 0.953
0.500 0.799 0.547
0.000 0.612 0.818
0.000 0.388 0.182
0.500 0.701 0.047
0.500 0.432 0.657
0.500 0.068 0.157
0.500 0.932 0.843
0.500 0.568 0.343
0.000 0.500 0.000
0.000 0.000 0.500
```

***

B.
A plane-wave DFT calculation with PBE was carried out for an optimized crystal structure of Nd4Hg2N.

Calculated values
- ρ: 8.51 g/cm³
- DOS at the Fermi energy: 4.12 states/eV/cell

POSCAR file:
```
Nd4Hg2N
1.0
-0.003 -5.048 -0.314
2.110 0.284 -4.588
7.935 -2.582 0.701
Nd Hg N
4 2 1
Direct
0.000 0.500 0.000
0.500 0.000 0.000
0.833 0.833 0.334
0.167 0.167 0.666
0.370 0.370 0.260
0.630 0.630 0.740
0.000 0.000 0.000
```

***

B ends up most stable, edging out the next structure by 8.6 kJ/mol of atoms.

***

A.
A plane-wave DFT calculation with PBE was carried out for an optimized crystal structure of NiHg3N.

Calculated values
- ρ: 9.35 g/cm³
- DOS at the Fermi energy: 7.05 states/eV/cell

POSCAR file:
```
NiHg3N
1.0
4.929 0.000 0.000
0.000 4.929 0.000
0.000 0.000 4.929
Hg N Ni
3 1 1
Direct
0.500 0.000 0.000
0.000 0.500 0.000
0.000 0.000 0.500
0.500 0.500 0.500
0.000 0.000 0.000
```

***

B.
A plane-wave DFT calculation with PBE was carried out for an optimized crystal structure of NiHg3N.

Calculated values
- ρ: 11.30 g/cm³
- DOS at the Fermi energy: 3.80 states/eV/cell

POSCAR file:
```
NiHg3N
1.0
-3.223 -1.883 -2.735
2.705 -3.699 -0.642
-1.926 -2.046 3.677
N Hg Ni
1 3 1
Direct
0.000 0.000 0.000
0.000 0.500 0.000
0.000 0.000 0.500
0.500 0.000 0.000
0.500 0.500 0.500
```

***

B ends up most stable, edging out the next structure by 21.7 kJ/mol of atoms.